1.
CsNi3I: optimized geometry, GGA-PBEsol.

Unit cell a=4.7808 b=4.7808 c=4.7808 alpha=90.00 beta=90.00 gamma=90.00
Atoms (fractional coordinates):
Cs 0.0000 0.0000 0.0000
Ni 0.0000 0.0000 0.5000
Ni 0.0000 0.5000 0.0000
Ni 0.5000 0.0000 0.0000
I 0.5000 0.5000 0.5000

## Properties
Energy relative to the elements, uncorrected: 1.8356 eV/atom
Space-group type: No. 221
Relative energy among the computed polymorphs: 985 meV per atom
Fermi-level density of states: 6.7 states/eV/cell
Crystal system: cubic
Energy: -2.401 eV per atom



2.
CsNi3I: optimized geometry, GGA-PBEsol.

Unit cell a=4.7740 b=4.7740 c=4.7740 alpha=90.00 beta=90.00 gamma=90.00
Atoms (fractional coordinates):
Cs 0.0000 0.0000 0.0000
Ni 0.0000 0.5000 0.5000
Ni 0.5000 0.0000 0.5000
Ni 0.5000 0.5000 0.0000
I 0.5000 0.5000 0.5000

## Properties
Energy relative to the elements, uncorrected: 0.8506 eV/atom
Space-group type: No. 221
Relative energy among the computed polymorphs: 0 meV per atom
Fermi-level density of states: 6.3 states/eV/cell
Crystal system: cubic
Energy: -3.386 eV per atom



3.
CsNiI2O: optimized geometry, GGA-PBEsol.

Unit cell a=6.4249 b=6.4249 c=3.4313 alpha=90.00 beta=90.00 gamma=90.00
Atoms (fractional coordinates):
Cs 0.0000 0.0000 0.0000
Ni 0.5000 0.5000 0.5000
I 0.0000 0.5000 0.5000
I 0.5000 0.0000 0.5000
O 0.5000 0.5000 0.0000

## Properties
Energy relative to the elements, uncorrected: -0.5803 eV/atom
Space-group type: No. 123
Fermi-level density of states: 2.9 states/eV/cell
Crystal system: tetragonal
Energy: -3.757 eV per atom